Version a
Computed, not measured: a relaxed structure of RbGe2Ir2 at the PBE-GGA level of DFT.

Lattice parameters (Å, degrees): 8.0242 8.0242 2.8925 90.00 90.00 90.00
Fractional coordinates of all 10 atoms:
Rb  0.0000  0.0000  0.0000
Rb  0.5000  0.5000  0.0000
Ge  0.1439  0.3561  0.5000
Ge  0.3561  0.8561  0.5000
Ge  0.6439  0.1439  0.5000
Ge  0.8561  0.6439  0.5000
Ir  0.1309  0.6309  0.0000
Ir  0.3691  0.1309  0.0000
Ir  0.6309  0.8691  0.0000
Ir  0.8691  0.3691  0.0000

Symmetry: P4/mbm (127)
Fermi-level density of states, states/eV/cell: 6.0
Calculated volume, Å³ per atom: 18.62

***

Version b
Computed, not measured: a relaxed structure of RbGe2Ir2 at the PBE-GGA level of DFT.

Lattice parameters (Å, degrees): 4.0714 4.0714 6.8936 90.00 90.00 90.00
Fractional coordinates of all 5 atoms:
Rb  0.0000  0.0000  0.0000
Ge  0.5000  0.5000  0.2860
Ge  0.5000  0.5000  0.7140
Ir  0.0000  0.5000  0.5000
Ir  0.5000  0.0000  0.5000

Symmetry: P4/mmm (123)
Fermi-level density of states, states/eV/cell: 4.5
Calculated volume, Å³ per atom: 22.85

***

Order of stability, best first: version b, version a

***

Version a
Computed, not measured: a relaxed structure of GeIr3Rh at the PBE-GGA level of DFT.

Lattice parameters (Å, degrees): 4.5161 4.5161 4.5161 90.00 90.00 90.00
Fractional coordinates of all 5 atoms:
Ge  0.0000  0.0000  0.0000
Ir  0.0000  0.0000  0.5000
Ir  0.0000  0.5000  0.0000
Ir  0.5000  0.0000  0.0000
Rh  0.5000  0.5000  0.5000

Symmetry: Pm-3m (221)
Fermi-level density of states, states/eV/cell: 10.6
Calculated volume, Å³ per atom: 18.42

***

Version b
Computed, not measured: a relaxed structure of GeIr3Rh at the PBE-GGA level of DFT.

Lattice parameters (Å, degrees): 4.7231 4.7231 4.7231 90.00 90.00 90.00
Fractional coordinates of all 5 atoms:
Ge  0.0000  0.0000  0.0000
Ir  0.0000  0.5000  0.5000
Ir  0.5000  0.0000  0.5000
Ir  0.5000  0.5000  0.0000
Rh  0.5000  0.5000  0.5000

Symmetry: Pm-3m (221)
Fermi-level density of states, states/eV/cell: 8.9
Calculated volume, Å³ per atom: 21.07

***

Order of stability, best first: version a, version b

***

Version a
Computed, not measured: a relaxed structure of GeIrRh3 at the PBE-GGA level of DFT.

Lattice parameters (Å, degrees): 4.7279 4.7279 4.7279 90.00 90.00 90.00
Fractional coordinates of all 5 atoms:
Ge  0.0000  0.0000  0.0000
Ir  0.5000  0.5000  0.5000
Rh  0.0000  0.5000  0.5000
Rh  0.5000  0.0000  0.5000
Rh  0.5000  0.5000  0.0000

Symmetry: Pm-3m (221)
Fermi-level density of states, states/eV/cell: 7.8
Calculated volume, Å³ per atom: 21.14

***

Version b
Computed, not measured: a relaxed structure of GeIrRh3 at the PBE-GGA level of DFT.

Lattice parameters (Å, degrees): 4.4543 4.4543 4.4543 90.00 90.00 90.00
Fractional coordinates of all 5 atoms:
Ge  0.0000  0.0000  0.0000
Ir  0.5000  0.5000  0.5000
Rh  0.0000  0.0000  0.5000
Rh  0.0000  0.5000  0.0000
Rh  0.5000  0.0000  0.0000

Symmetry: Pm-3m (221)
Fermi-level density of states, states/eV/cell: 8.6
Calculated volume, Å³ per atom: 17.67

***

Order of stability, best first: version b, version a

***

Version a
Computed, not measured: a relaxed structure of Ge2Ir2Rh at the PBE-GGA level of DFT.

Lattice parameters (Å, degrees): 7.2063 7.2063 2.8798 90.00 90.00 90.00
Fractional coordinates of all 10 atoms:
Ge  0.1565  0.3435  0.0000
Ge  0.3435  0.8435  0.0000
Ge  0.6565  0.1565  0.0000
Ge  0.8435  0.6565  0.0000
Ir  0.1425  0.6425  0.5000
Ir  0.3575  0.1425  0.5000
Ir  0.6425  0.8575  0.5000
Ir  0.8575  0.3575  0.5000
Rh  0.0000  0.0000  0.0000
Rh  0.5000  0.5000  0.0000

Symmetry: P4/mbm (127)
Fermi-level density of states, states/eV/cell: 7.6
Calculated volume, Å³ per atom: 14.95

***

Version b
Computed, not measured: a relaxed structure of Ge2Ir2Rh at the PBE-GGA level of DFT.

Lattice parameters (Å, degrees): 7.2713 7.2713 2.8631 90.00 90.00 90.00
Fractional coordinates of all 10 atoms:
Ge  0.1603  0.3397  0.0000
Ge  0.3397  0.8397  0.0000
Ge  0.6603  0.1603  0.0000
Ge  0.8397  0.6603  0.0000
Ir  0.1396  0.6396  0.5000
Ir  0.3604  0.1396  0.5000
Ir  0.6396  0.8604  0.5000
Ir  0.8604  0.3604  0.5000
Rh  0.0000  0.0000  0.5000
Rh  0.5000  0.5000  0.5000

Symmetry: P4/mbm (127)
Fermi-level density of states, states/eV/cell: 9.4
Calculated volume, Å³ per atom: 15.14

***

Order of stability, best first: version a, version b